A plane-wave DFT calculation with PBE was carried out for a relaxed Dy2Er4LuTe2Pd2 crystal.

The structure in extended XYZ format:
```
11
Lattice="-1.958 7.803 4.811 1.958 -7.803 4.811 1.958 7.803 -4.811" Properties=species:S:1:pos:R:3 pbc="T T T"
Dy 0.000 4.958 3.595
Dy 1.958 2.846 -1.216
Er 0.000 2.024 5.599
Er 1.958 -2.221 2.235
Er 1.958 2.221 2.235
Er 1.958 5.780 0.787
Lu 0.000 0.000 9.615
Pd 0.000 3.688 0.680
Pd 0.000 11.918 0.680
Te 0.000 0.000 3.250
Te 0.000 7.803 2.243
```

## Properties
Volume ... 294.0 Å³/cell
E above lowest polymorph ... 7 meV/atom
Mass density ... 9.25 g/cm³
Crystal system ... orthorhombic



A plane-wave DFT calculation with PBE was carried out for a relaxed Dy4ErLu2Te2Pd2 crystal.

The structure in extended XYZ format:
```
11
Lattice="-1.955 7.799 4.813 1.955 -7.799 4.813 1.955 7.799 -4.813" Properties=species:S:1:pos:R:3 pbc="T T T"
Dy 0.000 2.011 5.588
Dy 0.000 4.947 3.599
Dy 1.955 2.852 -1.214
Dy 1.955 5.788 0.775
Er 0.000 0.000 9.625
Lu 1.955 -2.225 2.226
Lu 1.955 2.225 2.226
Pd 0.000 3.644 0.704
Pd 0.000 11.955 0.704
Te 0.000 0.000 3.213
Te 0.000 7.799 2.269
```

## Properties
Volume ... 293.5 Å³/cell
E above lowest polymorph ... 19 meV/atom
Mass density ... 9.25 g/cm³
Crystal system ... orthorhombic



A plane-wave DFT calculation with PBE was carried out for a relaxed Dy2Er4LuTe2Pd2 crystal.

The structure in extended XYZ format:
```
11
Lattice="-1.961 7.786 4.799 1.961 -7.786 4.799 1.961 7.786 -4.799" Properties=species:S:1:pos:R:3 pbc="T T T"
Dy 1.961 -2.227 2.240
Dy 1.961 2.227 2.240
Er 0.000 2.024 5.592
Er 0.000 4.953 3.588
Er 1.961 2.833 -1.212
Er 1.961 5.763 0.792
Lu 0.000 0.000 9.590
Pd 0.000 3.688 0.651
Pd 0.000 11.885 0.651
Te 0.000 0.000 3.250
Te 0.000 7.786 2.246
```

## Properties
Volume ... 293.1 Å³/cell
E above lowest polymorph ... 0 meV/atom
Mass density ... 9.27 g/cm³
Crystal system ... orthorhombic



A plane-wave DFT calculation with PBE was carried out for a relaxed Dy4ErLu2Te2Pd2 crystal.

The structure in extended XYZ format:
```
11
Lattice="-2.486 -4.949 -7.535 -6.750 3.297 5.569 6.361 0.401 -6.844" Properties=species:S:1:pos:R:3 pbc="T T T"
Dy -4.880 -1.554 -3.015
Dy -2.916 2.117 0.970
Dy -1.801 0.808 -3.166
Dy 0.474 0.029 -6.121
Er -9.226 -1.650 -1.965
Lu -2.227 -2.063 -5.304
Lu 1.672 1.227 -3.012
Pd 0.303 -1.180 -3.516
Pd 2.353 -3.586 -11.123
Te -3.107 -0.555 -0.661
Te -0.246 -2.665 -7.654
```

## Properties
Volume ... 293.4 Å³/cell
E above lowest polymorph ... 0 meV/atom
Mass density ... 9.25 g/cm³
Crystal system ... orthorhombic



A plane-wave DFT calculation with PBE was carried out for a relaxed Dy2ErLu4Te2Pd2 crystal.

The structure in extended XYZ format:
```
11
Lattice="-4.457 -5.848 -5.701 -0.862 -1.271 9.176 -1.946 3.817 -8.259" Properties=species:S:1:pos:R:3 pbc="T T T"
Dy -4.010 -3.295 -3.131
Dy -1.897 1.810 -2.540
Er -5.315 -7.114 3.473
Lu -3.931 -4.407 0.200
Lu -1.725 -0.093 3.267
Lu -3.559 -0.675 -0.731
Lu -4.205 -0.061 -4.415
Pd -1.900 -0.992 -3.063
Pd -5.265 -2.059 -10.399
Te -1.804 -2.414 1.179
Te -4.429 -2.659 -6.178
```

## Properties
Volume ... 288.2 Å³/cell
E above lowest polymorph ... 20 meV/atom
Mass density ... 9.57 g/cm³
Crystal system ... orthorhombic



A plane-wave DFT calculation with PBE was carried out for a relaxed Dy2ErLu4Te2Pd2 crystal.

The structure in extended XYZ format:
```
11
Lattice="-1.955 7.752 4.786 1.955 -7.752 4.786 1.955 7.752 -4.786" Properties=species:S:1:pos:R:3 pbc="T T T"
Dy 0.000 2.014 5.567
Dy 1.955 5.737 0.782
Er 0.000 0.000 0.004
Lu 0.000 4.912 3.583
Lu 1.955 -2.235 2.224
Lu 1.955 2.235 2.224
Lu 1.955 2.840 -1.203
Pd 0.000 3.619 0.658
Pd 0.000 11.884 0.658
Te 0.000 0.000 3.201
Te 0.000 7.752 2.273
```

## Properties
Volume ... 290.1 Å³/cell
E above lowest polymorph ... 4 meV/atom
Mass density ... 9.50 g/cm³
Crystal system ... orthorhombic



Number 1: total DFT energy (no corrections) -5.25 eV/atom. Number 2: total DFT energy (no corrections) -5.26 eV/atom. Number 3: total DFT energy (no corrections) -5.26 eV/atom. Number 4: total DFT energy (no corrections) -5.28 eV/atom. Number 5: total DFT energy (no corrections) -5.24 eV/atom. Number 6: total DFT energy (no corrections) -5.26 eV/atom.